Record 1
## LaNdHgOs (PBE)

Data for LaNdHgOs after structural relaxation.

Cell lengths 5.2236, 5.2236, 5.2236 Å; angles 60.00, 60.00, 60.00 degrees
Fractional positions:
La 0.0000 0.0000 0.0000
Nd 0.5000 0.5000 0.5000
Hg 0.7500 0.7500 0.7500
Os 0.2500 0.2500 0.2500

Computed properties:
DOS at the Fermi energy, states/eV/atom: 0.86
Total magnetic moment, Bohr magnetons per cell: 0.0
E_tot, eV/atom: -5.44
Calculated volume, Å³ per cell: 100.8

Record 2
## HPtF2 (PBE)

Data for HPtF2 after structural relaxation.

Cell lengths 6.1416, 6.1416, 6.1416 Å; angles 25.70, 25.70, 25.70 degrees
Fractional positions:
H 0.0000 0.0000 0.0000
Pt 0.5000 0.5000 0.5000
F 0.3860 0.3860 0.3860
F 0.6140 0.6140 0.6140

Computed properties:
Excess energy over the best structure of this formula in the dataset, meV/atom: 171
DOS at the Fermi energy, states/eV/atom: 0.19
Total magnetic moment, Bohr magnetons per cell: 0.0
E_tot, eV/atom: -3.79
Calculated volume, Å³ per cell: 38.3

Record 3
## Sr2MoPb (PBE)

Data for Sr2MoPb after structural relaxation.

Cell lengths 10.9065, 10.9065, 10.9065 Å; angles 19.38, 19.38, 19.38 degrees
Fractional positions:
Sr 0.2425 0.2425 0.2425
Sr 0.7575 0.7575 0.7575
Mo 0.5000 0.5000 0.5000
Pb 0.0000 0.0000 0.0000

Computed properties:
DOS at the Fermi energy, states/eV/atom: 1.05
Total magnetic moment, Bohr magnetons per cell: 2.2
E_tot, eV/atom: -3.81
Calculated volume, Å³ per cell: 124.9

Record 4
## Cs5RbNa (PBE)

Data for Cs5RbNa after structural relaxation.

Cell lengths 12.4419, 12.4419, 9.4537 Å; angles 102.25, 102.25, 94.83 degrees
Fractional positions:
Cs 0.1746 0.5232 0.1768
Cs 0.1829 0.3468 0.6131
Cs 0.2289 0.7711 0.7500
Cs 0.3468 0.1829 0.1131
Cs 0.4768 0.8254 0.3232
Cs 0.5232 0.1746 0.6768
Cs 0.6532 0.8171 0.8869
Cs 0.7711 0.2289 0.2500
Cs 0.8171 0.6532 0.3869
Cs 0.8254 0.4768 0.8232
Rb 0.0638 0.9362 0.2500
Rb 0.9362 0.0638 0.7500
Na 0.5000 0.5000 0.0000
Na 0.5000 0.5000 0.5000

Computed properties:
DOS at the Fermi energy, states/eV/atom: 1.13
Total magnetic moment, Bohr magnetons per cell: 0.0
E_tot, eV/atom: -0.91
Calculated volume, Å³ per cell: 1384.7

Record 5
## VTe2HI (PBE)

Data for VTe2HI after structural relaxation.

Cell lengths 4.3437, 4.3437, 6.9613 Å; angles 90.00, 90.00, 90.00 degrees
Fractional positions:
V 0.0000 0.0000 0.0000
Te 0.0000 0.5000 0.5000
Te 0.5000 0.0000 0.5000
H 0.5000 0.5000 0.5000
I 0.5000 0.5000 0.0000

Computed properties:
Excess energy over the best structure of this formula in the dataset, meV/atom: 72
DOS at the Fermi energy, states/eV/atom: 0.99
Total magnetic moment, Bohr magnetons per cell: 3.4
E_tot, eV/atom: -3.48
Calculated volume, Å³ per cell: 131.3

Record 6
## CrSIN2 (PBE)

Data for CrSIN2 after structural relaxation.

Cell lengths 3.7274, 3.7274, 5.9026 Å; angles 90.00, 90.00, 90.00 degrees
Fractional positions:
Cr 0.0000 0.0000 0.0000
S 0.5000 0.5000 0.5000
I 0.0000 0.0000 0.5000
N 0.0000 0.5000 0.0000
N 0.5000 0.0000 0.0000

Computed properties:
Excess energy over the best structure of this formula in the dataset, meV/atom: 95
DOS at the Fermi energy, states/eV/atom: 0.63
Total magnetic moment, Bohr magnetons per cell: 1.0
E_tot, eV/atom: -5.54
Calculated volume, Å³ per cell: 82.0
Formation energy from raw total energies, eV per formula unit: 4.27

Record 7
## HfZn4Re (PBE)

Data for HfZn4Re after structural relaxation.

Cell lengths 4.9985, 4.9985, 4.9985 Å; angles 60.00, 60.00, 60.00 degrees
Fractional positions:
Hf 0.0000 0.0000 0.0000
Zn 0.3758 0.3758 0.3758
Zn 0.3758 0.3758 0.8725
Zn 0.3758 0.8725 0.3758
Zn 0.8725 0.3758 0.3758
Re 0.7500 0.7500 0.7500

Computed properties:
DOS at the Fermi energy, states/eV/atom: 0.42
Total magnetic moment, Bohr magnetons per cell: 0.0
E_tot, eV/atom: -4.74
Calculated volume, Å³ per cell: 88.3

Record 8
## CaLuAlAu (PBE)

Data for CaLuAlAu after structural relaxation.

Cell lengths 5.0927, 5.0927, 5.0927 Å; angles 60.00, 60.00, 60.00 degrees
Fractional positions:
Ca 0.0000 0.0000 0.0000
Lu 0.5000 0.5000 0.5000
Al 0.2500 0.2500 0.2500
Au 0.7500 0.7500 0.7500

Computed properties:
DOS at the Fermi energy, states/eV/atom: 0.81
Total magnetic moment, Bohr magnetons per cell: 0.0
E_tot, eV/atom: -3.89
Calculated volume, Å³ per cell: 93.4